## ScAl2W (GGA-PBE)

Data for a geometry-optimized ScAl2W structure.

```
data_ScAl2W
_chemical_formula_sum 'Sc4 Al8 W4'
_space_group_name_H-M_alt 'F -4 3 m'
_space_group_IT_number 216
_space_group_name_Hall 'F -4 2 3'
_cell_length_a 6.4519
_cell_length_b 6.4519
_cell_length_c 6.4519
_cell_angle_alpha 90.00
_cell_angle_beta 90.00
_cell_angle_gamma 90.00
loop_
_atom_site_label
_atom_site_type_symbol
_atom_site_fract_x
_atom_site_fract_y
_atom_site_fract_z
_atom_site_occupancy
Sc1 Sc 0.0000 0.0000 0.0000 1
Al1 Al 0.0000 0.0000 0.5000 1
Al2 Al 0.2500 0.2500 0.7500 1
W1 W 0.2500 0.2500 0.2500 1
```

Output
final energy = -6.559 eV per atom
crystal system = cubic